# 1
First-principles (GGA-PBE) data for a geometry-optimized Li2NiSn2Pd structure, as listed in OQMD via LeMat-Bulk.

Cell and atoms, written as CIF:
```
data_Li2NiSn2Pd
_cell_length_a 4.5553
_cell_length_b 4.5553
_cell_length_c 5.5204
_cell_angle_alpha 90.00
_cell_angle_beta 90.00
_cell_angle_gamma 120.00
_space_group_name_H-M_alt 'P -6 m 2'
_space_group_IT_number 187
_space_group_name_Hall 'P -6 2'
loop_
_atom_site_label
_atom_site_fract_x
_atom_site_fract_y
_atom_site_fract_z
Li1 0.0000 0.0000 0.2483
Ni1 0.6667 0.3333 0.0000
Sn1 0.3333 0.6667 0.0000
Sn2 0.6667 0.3333 0.5000
Pd1 0.3333 0.6667 0.5000
```

The calculation puts the final energy at -25.25 eV for the cell shown. The calculation puts the calculated volume at 99.2 Å³/cell. Its crystal system is hexagonal.


# 2
First-principles (GGA-PBE) data for a geometry-optimized Li2Zn2NiSn2Pd structure, as listed in OQMD via LeMat-Bulk.

Cell and atoms, written as CIF:
```
data_Li2Zn2NiSn2Pd
_cell_length_a 4.4016
_cell_length_b 4.4016
_cell_length_c 6.3401
_cell_angle_alpha 90.00
_cell_angle_beta 90.00
_cell_angle_gamma 90.00
_space_group_name_H-M_alt 'P -4 m 2'
_space_group_IT_number 115
loop_
_space_group_symop_operation_xyz
'x,y,z'
'y,-x,-z'
'-x,-y,z'
'-y,x,-z'
'-x,y,z'
'-y,-x,-z'
'x,-y,z'
'y,x,-z'
loop_
_atom_site_label
_atom_site_fract_x
_atom_site_fract_y
_atom_site_fract_z
Li1 0.0000 0.0000 0.0000
Li2 0.5000 0.5000 0.5000
Zn1 0.0000 0.5000 0.2394
Ni1 0.5000 0.5000 0.0000
Sn1 0.0000 0.5000 0.7636
Pd1 0.0000 0.0000 0.5000
```

The calculation puts the final energy at -28.07 eV for the cell shown. The calculation puts the calculated volume at 122.8 Å³/cell. Its crystal system is tetragonal.


# 3
First-principles (GGA-PBE) data for a geometry-optimized LiPmNi structure, as listed in OQMD via LeMat-Bulk.

Cell and atoms, written as CIF:
```
data_LiPmNi
_cell_length_a 6.4206
_cell_length_b 6.4206
_cell_length_c 6.4206
_cell_angle_alpha 90.00
_cell_angle_beta 90.00
_cell_angle_gamma 90.00
_space_group_name_H-M_alt 'F -4 3 m'
_space_group_IT_number 216
_space_group_name_Hall 'F -4 2 3'
loop_
_atom_site_label
_atom_site_fract_x
_atom_site_fract_y
_atom_site_fract_z
Li1 0.0000 0.0000 0.0000
Pm1 0.0000 0.0000 0.5000
Ni1 0.2500 0.2500 0.2500
```

The calculation puts the final energy at -48.81 eV for the cell shown. For the energy above the most stable polymorph in this dataset, the calculation gives 0.0000 eV per atom. The calculation puts the calculated volume at 264.7 Å³/cell. Its crystal system is cubic.


# 4
First-principles (GGA-PBE) data for a geometry-optimized LiPm3Ni8 structure, as listed in OQMD via LeMat-Bulk.

Cell and atoms, written as CIF:
```
data_LiPm3Ni8
_cell_length_a 5.0280
_cell_length_b 5.0280
_cell_length_c 24.7810
_cell_angle_alpha 90.00
_cell_angle_beta 90.00
_cell_angle_gamma 120.00
_space_group_name_H-M_alt 'R 3 m'
_space_group_IT_number 160
_space_group_name_Hall 'R 3 -2"'
loop_
_atom_site_label
_atom_site_fract_x
_atom_site_fract_y
_atom_site_fract_z
Li1 0.0000 0.0000 0.0000
Pm1 0.0000 0.0000 0.1211
Pm2 0.0000 0.0000 0.5078
Pm3 0.0000 0.0000 0.6369
Ni1 0.0000 0.0000 0.3184
Ni2 0.0000 0.0000 0.8177
Ni3 0.0005 0.5003 0.5691
Ni4 0.0036 0.5018 0.0669
```

The calculation puts the final energy at -193.73 eV for the cell shown. The calculation puts the calculated volume at 542.5 Å³/cell. Its crystal system is trigonal.


# 5
First-principles (GGA-PBE) data for a geometry-optimized LiPmNiSn structure, as listed in OQMD via LeMat-Bulk.

Cell and atoms, written as CIF:
```
data_LiPmNiSn
_cell_length_a 6.6511
_cell_length_b 6.6511
_cell_length_c 6.6511
_cell_angle_alpha 90.00
_cell_angle_beta 90.00
_cell_angle_gamma 90.00
_space_group_name_H-M_alt 'F -4 3 m'
_space_group_IT_number 216
_space_group_name_Hall 'F -4 2 3'
loop_
_atom_site_label
_atom_site_fract_x
_atom_site_fract_y
_atom_site_fract_z
Li1 0.0000 0.0000 0.0000
Pm1 0.2500 0.2500 0.2500
Ni1 0.0000 0.0000 0.5000
Sn1 0.2500 0.2500 0.7500
```

The calculation puts the final energy at -73.94 eV for the cell shown. The calculation puts the calculated volume at 294.2 Å³/cell. Its crystal system is cubic.


# 6
First-principles (GGA-PBE) data for a geometry-optimized Li2Pr2Ni15 structure, as listed in OQMD via LeMat-Bulk.

Cell and atoms, written as CIF:
```
data_Li2Pr2Ni15
_cell_length_a 8.4023
_cell_length_b 8.4023
_cell_length_c 12.1009
_cell_angle_alpha 90.00
_cell_angle_beta 90.00
_cell_angle_gamma 120.00
_space_group_name_H-M_alt 'R -3 m'
_space_group_IT_number 166
_space_group_name_Hall '-R 3 2"'
loop_
_atom_site_label
_atom_site_fract_x
_atom_site_fract_y
_atom_site_fract_z
Li1 0.0000 0.0000 0.0928
Pr1 0.0000 0.0000 0.3422
Ni1 0.0000 0.2984 0.0000
Ni2 0.0000 0.5000 0.5000
Ni3 0.0015 0.5007 0.8423
```

The calculation puts the final energy at -301.67 eV for the cell shown. The calculation puts the calculated volume at 739.9 Å³/cell. Its crystal system is trigonal.


> What is the formula in the sixth record?

Li2Pr2Ni15


What did the second record say?
First-principles (GGA-PBE) data for a geometry-optimized Li2Zn2NiSn2Pd structure, as listed in OQMD via LeMat-Bulk.

Cell and atoms, written as CIF:
```
data_Li2Zn2NiSn2Pd
_cell_length_a 4.4016
_cell_length_b 4.4016
_cell_length_c 6.3401
_cell_angle_alpha 90.00
_cell_angle_beta 90.00
_cell_angle_gamma 90.00
_space_group_name_H-M_alt 'P -4 m 2'
_space_group_IT_number 115
loop_
_space_group_symop_operation_xyz
'x,y,z'
'y,-x,-z'
'-x,-y,z'
'-y,x,-z'
'-x,y,z'
'-y,-x,-z'
'x,-y,z'
'y,x,-z'
loop_
_atom_site_label
_atom_site_fract_x
_atom_site_fract_y
_atom_site_fract_z
Li1 0.0000 0.0000 0.0000
Li2 0.5000 0.5000 0.5000
Zn1 0.0000 0.5000 0.2394
Ni1 0.5000 0.5000 0.0000
Sn1 0.0000 0.5000 0.7636
Pd1 0.0000 0.0000 0.5000
```

The calculation puts the final energy at -28.07 eV for the cell shown. The calculation puts the calculated volume at 122.8 Å³/cell. Its crystal system is tetragonal.


> Which of these has the highest final energy?

Li2NiSn2Pd


Please write out number 3 again, unchanged.
First-principles (GGA-PBE) data for a geometry-optimized LiPmNi structure, as listed in OQMD via LeMat-Bulk.

Cell and atoms, written as CIF:
```
data_LiPmNi
_cell_length_a 6.4206
_cell_length_b 6.4206
_cell_length_c 6.4206
_cell_angle_alpha 90.00
_cell_angle_beta 90.00
_cell_angle_gamma 90.00
_space_group_name_H-M_alt 'F -4 3 m'
_space_group_IT_number 216
_space_group_name_Hall 'F -4 2 3'
loop_
_atom_site_label
_atom_site_fract_x
_atom_site_fract_y
_atom_site_fract_z
Li1 0.0000 0.0000 0.0000
Pm1 0.0000 0.0000 0.5000
Ni1 0.2500 0.2500 0.2500
```

The calculation puts the final energy at -48.81 eV for the cell shown. For the energy above the most stable polymorph in this dataset, the calculation gives 0.0000 eV per atom. The calculation puts the calculated volume at 264.7 Å³/cell. Its crystal system is cubic.